Material: SmBi2
Method: DFT, PBE
State: relaxed

Structure (extended XYZ):
```
6
Lattice="-5.017 3.144 -2.072 3.661 3.947 3.219 3.303 -2.363 -4.780" Properties=species:S:1:pos:R:3 pbc="T T T"
Bi 0.552 2.731 0.173
Bi -2.364 2.653 -2.792
Bi 4.311 2.075 -0.842
Bi 1.395 1.997 -3.807
Sm -0.429 0.195 -1.713
Sm -1.286 0.585 -5.139
```

Calculated values
calculated total energy = -4.70 eV per atom
symmetry = I4/mcm (140)